Computed, not measured: a relaxed structure of K2La4O7 at the PBE level of DFT.

Lattice parameters (Å, degrees): 6.3898 6.3898 7.7670 90.00 90.00 120.00
With the nearest neighbours (Å) after each atom.
Fractional coordinates of all 13 atoms:
K1 0.6667 0.3333 0.0000  6 O 3.27
K2 0.3333 0.6667 0.0000  6 O 3.27
O1 0.3591 0.0000 0.6715  3 La 2.33-2.45
O2 0.0000 0.6409 0.3285  3 La 2.33-2.45
O3 0.6409 0.0000 0.3285  3 La 2.33-2.45
O4 0.6409 0.6409 0.6715  3 La 2.33-2.45
O5 0.0000 0.3591 0.6715  3 La 2.33-2.45
O6 0.3591 0.3591 0.3285  3 La 2.33-2.45
O7 0.0000 0.0000 0.0000  2 La 2.15
La1 0.6667 0.3333 0.5000  6 O 2.45
La2 0.0000 0.0000 0.7229  4 O 2.15-2.33
La3 0.0000 0.0000 0.2771  4 O 2.15-2.33
La4 0.3333 0.6667 0.5000  6 O 2.45

Computed properties:
* total magnetic moment: 0.0 Bohr magnetons per cell
* formation energy from raw total energies: -2.84 eV per atom
* volume: 274.6 Å³/cell
* D(E_F): 0.0 states/eV per cell